Crystalline Mn2Cr2SiO6 at its relaxed geometry. Source: the Alexandria database, functional PBE+U.

Cell and atoms, written as POSCAR:
```
Mn2Cr2SiO6
1.0
2.891 -4.337 0.000
2.891 4.337 0.000
-2.234 0.000 4.961
Mn Cr Si O
2 2 1 6
Cartesian
2.891 2.758 0.000
2.891 -2.758 0.000
1.774 1.415 2.481
1.774 -1.415 2.481
-1.117 0.000 2.481
-0.524 1.336 3.624
0.503 0.000 1.575
-0.524 -1.336 3.624
4.072 1.336 1.338
3.045 0.000 3.386
4.072 -1.336 1.338
```

uncorrected energy = -7.72 eV per atom
density = 4.51 g cm⁻³